The following is a PBE calculation of a geometry-optimized BaZnRh2Se structure, from Alexandria.

Cell lengths 4.8000, 5.0209, 4.8000 Å; angles 90.00, 90.00, 90.00 degrees
With the nearest neighbours (Å) after each atom.
Fractional positions:
1 Rh 0.0000 0.0000 0.5000  2 Zn 2.40
2 Rh 0.5000 0.0000 0.0000  2 Zn 2.40
3 Se 0.0000 0.5000 0.0000  2 Zn 2.51
4 Zn 0.0000 0.0000 0.0000  4 Rh 2.40, 2 Se 2.51
5 Ba 0.5000 0.5000 0.5000  4 Se 3.39, 8 Rh 3.47

Summary:
Electronic total energy (eV/cell): -20.9

=====

The following is a PBE calculation of a geometry-optimized KMnOs2 structure, from Alexandria.

Cell lengths 7.5569, 7.5569, 5.9261 Å; angles 50.39, 50.39, 90.00 degrees
With the nearest neighbours (Å) after each atom.
Fractional positions:
1 Os 0.0607 0.6250 0.2500  2 Mn 2.44
2 Os 0.3750 0.3107 0.7500  2 Mn 2.44
3 K 0.5000 0.5000 0.0000  2 Mn 2.56
4 Mn 0.7500 0.2500 0.5000  4 Os 2.44, 2 K 2.56
5 Os 0.8750 0.9393 0.7500  2 Mn 2.44
6 K 0.2500 0.7500 0.5000  2 Mn 2.56
7 Mn 0.0000 0.0000 0.0000  4 Os 2.44, 2 K 2.56
8 Os 0.6893 0.1250 0.2500  2 Mn 2.44

Summary:
Energy of formation from the pure elements (eV/f.u.): 6.27
Energy relative to the lowest polymorph listed for this composition (meV per atom): 852

=====

The following is a PBE calculation of a geometry-optimized ZnNiHAu2 structure, from Alexandria.

Cell lengths 4.4138, 4.4138, 3.3052 Å; angles 90.00, 90.00, 90.00 degrees
With the nearest neighbours (Å) after each atom.
Fractional positions:
1 H 0.0000 0.0000 0.0000  2 Ni 1.65
2 Zn 0.5000 0.5000 0.5000  8 Au 2.76
3 Ni 0.0000 0.0000 0.5000  2 H 1.65
4 Au 0.0000 0.5000 0.0000  2 H 2.21
5 Au 0.5000 0.0000 0.0000  2 H 2.21

Summary:
Electronic total energy (eV/cell): -16.9

=====

The following is a PBE calculation of a geometry-optimized Zn2Fe2Rh structure, from Alexandria.

Cell lengths 6.7455, 6.7455, 2.9534 Å; angles 90.00, 90.00, 90.00 degrees
With the nearest neighbours (Å) after each atom.
Fractional positions:
1 Zn 0.8675 0.6325 0.0000  6 Fe 2.42-2.51, 1 Zn 2.53, 2 Rh 2.64
2 Zn 0.1325 0.3675 0.0000  6 Fe 2.42-2.51, 1 Zn 2.53, 2 Rh 2.64
3 Rh 0.5000 0.5000 0.0000  4 Zn 2.64, 8 Fe 2.92
4 Fe 0.6668 0.8332 0.5000  6 Zn 2.42-2.51
5 Zn 0.3675 0.8675 0.0000  6 Fe 2.42-2.51, 1 Zn 2.53, 2 Rh 2.64
6 Zn 0.6325 0.1325 0.0000  6 Fe 2.42-2.51, 1 Zn 2.53, 2 Rh 2.64
7 Fe 0.8332 0.3332 0.5000  6 Zn 2.42-2.51
8 Fe 0.3332 0.1668 0.5000  6 Zn 2.42-2.51
9 Fe 0.1668 0.6668 0.5000  6 Zn 2.42-2.51
10 Rh 0.0000 0.0000 0.0000  4 Zn 2.64, 8 Fe 2.92

Summary:
Energy of formation from the pure elements (eV/f.u.): 0.68
Energy relative to the lowest polymorph listed for this composition (meV per atom): 0

=====

The following is a PBE calculation of a geometry-optimized PmSm2PaSe4 structure, from Alexandria.

Cell lengths 4.1234, 7.2017, 7.2065 Å; angles 109.09, 90.00, 90.00 degrees
With the nearest neighbours (Å) after each atom.
Fractional positions:
1 Sm 0.0000 0.5000 0.5000  6 Se 2.93
2 Sm 0.5000 0.0000 0.5000  6 Se 2.96
3 Se 0.5000 0.2536 0.2492  1 Pa 2.91, 3 Sm 2.93-2.96, 2 Pm 2.94
4 Se 0.5000 0.7464 0.7508  1 Pa 2.91, 3 Sm 2.93-2.96, 2 Pm 2.94
5 Pm 0.0000 0.0000 0.0000  6 Se 2.94
6 Pa 0.5000 0.5000 0.0000  6 Se 2.91-2.92
7 Se 0.0000 0.2540 0.7527  2 Pa 2.92, 3 Sm 2.93-2.96, 1 Pm 2.94
8 Se 0.0000 0.7460 0.2473  2 Pa 2.92, 3 Sm 2.93-2.96, 1 Pm 2.94

Summary:
Electronic total energy (eV/cell): -50.8

=====

The following is a PBE calculation of a geometry-optimized TcMoPd2Rh structure, from Alexandria.

Cell lengths 4.7673, 4.6080, 4.7673 Å; angles 90.00, 90.00, 90.00 degrees
With the nearest neighbours (Å) after each atom.
Fractional positions:
1 Pd 0.5000 0.0000 0.0000  2 Mo 2.38
2 Tc 0.5000 0.5000 0.5000  8 Pd 3.32, 4 Rh 3.37
3 Mo 0.0000 0.0000 0.0000  2 Rh 2.30, 4 Pd 2.38
4 Pd 0.0000 0.0000 0.5000  2 Mo 2.38
5 Rh 0.0000 0.5000 0.0000  2 Mo 2.30

Summary:
Energy of formation from the pure elements (eV/f.u.): 7.53

=====

The following is a PBE calculation of a geometry-optimized Dy3ScTl5 structure, from Alexandria.

Cell lengths 6.4766, 9.2508, 9.2508 Å; angles 120.00, 90.00, 90.00 degrees
With the nearest neighbours (Å) after each atom.
Fractional positions:
1 Dy 0.7500 0.3717 0.0000  9 Tl 3.12-3.34
2 Dy 0.7500 0.0000 0.3717  9 Tl 3.12-3.34
3 Dy 0.2500 0.6283 0.0000  9 Tl 3.12-3.34
4 Sc 0.0000 0.0000 0.0000  6 Tl 3.12, 2 Sc 3.24
5 Tl 0.2500 0.2881 0.0000  2 Sc 3.12, 5 Dy 3.12-3.33
6 Tl 0.7500 0.0000 0.7119  2 Sc 3.12, 5 Dy 3.12-3.33
7 Tl 0.7500 0.7119 0.0000  2 Sc 3.12, 5 Dy 3.12-3.33
8 Dy 0.7500 0.6283 0.6283  9 Tl 3.12-3.34
9 Tl 0.5000 0.6667 0.3333  2 Tl 3.24, 6 Dy 3.34
10 Tl 0.2500 0.7119 0.7119  2 Sc 3.12, 5 Dy 3.12-3.33
11 Tl 0.0000 0.6667 0.3333  2 Tl 3.24, 6 Dy 3.34
12 Tl 0.2500 0.0000 0.2881  2 Sc 3.12, 5 Dy 3.12-3.33
13 Dy 0.2500 0.3717 0.3717  9 Tl 3.12-3.34
14 Tl 0.0000 0.3333 0.6667  2 Tl 3.24, 6 Dy 3.34
15 Sc 0.5000 0.0000 0.0000  6 Tl 3.12, 2 Sc 3.24
16 Dy 0.2500 0.0000 0.6283  9 Tl 3.12-3.34
17 Tl 0.5000 0.3333 0.6667  2 Tl 3.24, 6 Dy 3.34
18 Tl 0.7500 0.2881 0.2881  2 Sc 3.12, 5 Dy 3.12-3.33

Summary:
Energy of formation from the pure elements (eV/f.u.): -2.63

=====

The following is a PBE calculation of a geometry-optimized HgPtSe2 structure, from Alexandria.

Cell lengths 16.5088, 3.7622, 9.0596 Å; angles 90.00, 137.38, 90.00 degrees
With the nearest neighbours (Å) after each atom.
Fractional positions:
1 Pt 0.7627 0.2500 0.4455  5 Se 2.52-2.58, 1 Hg 2.69
2 Hg 0.3575 0.7500 0.4588  1 Pt 2.69, 1 Se 2.70
3 Hg 0.1425 0.2500 0.0412  1 Pt 2.69, 1 Se 2.70
4 Se 0.6370 0.7500 0.1765  3 Pt 2.52-2.58
5 Pt 0.2373 0.7500 0.5545  5 Se 2.52-2.58, 1 Hg 2.69
6 Se 0.1370 0.7500 0.6765  3 Pt 2.52-2.58
7 Hg 0.6425 0.2500 0.5412  1 Pt 2.69, 1 Se 2.70
8 Pt 0.2627 0.2500 0.9455  5 Se 2.52-2.58, 1 Hg 2.69
9 Se 0.1026 0.2500 0.2821  2 Pt 2.55, 1 Hg 2.70
10 Se 0.3974 0.7500 0.2179  2 Pt 2.55, 1 Hg 2.70
11 Pt 0.7373 0.7500 0.0545  5 Se 2.52-2.58, 1 Hg 2.69
12 Se 0.8974 0.7500 0.7179  2 Pt 2.55, 1 Hg 2.70
13 Se 0.8630 0.2500 0.3235  3 Pt 2.52-2.58
14 Se 0.6026 0.2500 0.7821  2 Pt 2.55, 1 Hg 2.70
15 Hg 0.8575 0.7500 0.9588  1 Pt 2.69, 1 Se 2.70
16 Se 0.3630 0.2500 0.8235  3 Pt 2.52-2.58

Summary:
Energy relative to the lowest polymorph listed for this composition (meV per atom): 39

=====

The following is a PBE calculation of a geometry-optimized ZrTiCrCu structure, from Alexandria.

Cell lengths 4.4557, 4.4557, 4.4557 Å; angles 60.00, 60.00, 60.00 degrees
With the nearest neighbours (Å) after each atom.
Fractional positions:
1 Ti 0.2500 0.2500 0.2500  4 Cr 2.73, 4 Cu 2.73
2 Cr 0.5000 0.5000 0.5000  4 Zr 2.73, 4 Ti 2.73
3 Zr 0.7500 0.7500 0.7500  4 Cr 2.73, 4 Cu 2.73
4 Cu 0.0000 0.0000 0.0000  4 Ti 2.73, 4 Zr 2.73

Summary:
Energy of formation from the pure elements (eV/f.u.): 0.21

=====

The following is a PBE calculation of a geometry-optimized ScS3Cl structure, from Alexandria.

Cell lengths 4.6117, 4.6117, 4.6117 Å; angles 90.00, 90.00, 90.00 degrees
With the nearest neighbours (Å) after each atom.
Fractional positions:
1 S 0.5000 0.0000 0.0000  2 Cl 2.31
2 Sc 0.5000 0.5000 0.5000  12 S 3.26
3 S 0.0000 0.5000 0.0000  2 Cl 2.31
4 S 0.0000 0.0000 0.5000  2 Cl 2.31
5 Cl 0.0000 0.0000 0.0000  6 S 2.31

Summary:
Energy relative to the lowest polymorph listed for this composition (meV per atom): 361